Run i
Density functional theory data (PBE) for a relaxed SnSeBr2F crystal.

Computed properties:
**Total magnetic moment**: 1.0 Bohr magnetons per cell
**D(E_F)**: 0.51 states/eV/atom

The structure in POSCAR format:
```
SnSeBr2F
1.0
-1.3513 5.4892 0.5362
-2.1433 -0.0140 -5.2585
-3.5447 -1.0140 1.4475
Se Sn Br F
1 1 2 1
direct
0.0000 0.0000 0.5000
0.5000 0.5000 0.5000
0.0000 0.5000 0.0000
0.5000 0.0000 0.0000
0.0000 0.0000 0.0000
```


Run ii
Density functional theory data (PBE) for a relaxed SnSeBr2F crystal.

Computed properties:
**Total magnetic moment**: 1.8 Bohr magnetons per cell
**D(E_F)**: 1.45 states/eV/atom

The structure in POSCAR format:
```
SnSeBr2F
1.0
5.3985 0.0000 0.0000
0.0000 5.3985 0.0000
0.0000 0.0000 5.5216
Se Sn Br F
1 1 2 1
direct
0.0000 0.0000 0.5000
0.0000 0.0000 0.0000
0.0000 0.5000 0.0000
0.5000 0.0000 0.0000
0.5000 0.5000 0.5000
```


Last place for stability: run ii


Run i
Density functional theory data (PBE) for a relaxed SrSeBr2F crystal.

Computed properties:
**Total magnetic moment**: 0.9 Bohr magnetons per cell
**D(E_F)**: 0.56 states/eV/atom

The structure in POSCAR format:
```
SrSeBr2F
1.0
5.6563 0.0000 0.0000
0.0000 5.6563 0.0000
0.0000 0.0000 4.0667
Sr Se Br F
1 1 2 1
direct
0.5000 0.5000 0.5000
0.0000 0.0000 0.5000
0.0000 0.5000 0.0000
0.5000 0.0000 0.0000
0.0000 0.0000 0.0000
```


Run ii
Density functional theory data (PBE) for a relaxed SrSeBr2F crystal.

Computed properties:
**Total magnetic moment**: 1.8 Bohr magnetons per cell
**D(E_F)**: 1.50 states/eV/atom

The structure in POSCAR format:
```
SrSeBr2F
1.0
5.8976 0.0000 0.0000
0.0000 5.8976 0.0000
0.0000 0.0000 6.5392
Sr Se Br F
1 1 2 1
direct
0.0000 0.0000 0.0000
0.0000 0.0000 0.5000
0.0000 0.5000 0.0000
0.5000 0.0000 0.0000
0.5000 0.5000 0.5000
```


Last place for stability: run ii


Run i
Density functional theory data (PBE) for a relaxed TaSe2BrF crystal.

Computed properties:
**Total magnetic moment**: 2.1 Bohr magnetons per cell
**D(E_F)**: 0.86 states/eV/atom

The structure in POSCAR format:
```
TaSe2BrF
1.0
-0.1535 -3.9916 1.7940
2.2076 1.4793 3.4804
-4.5458 1.2348 2.3586
F Se Br Ta
1 2 1 1
direct
0.0000 0.0000 0.0000
0.0000 0.5000 0.0000
0.5000 0.0000 0.0000
0.0000 0.0000 0.5000
0.5000 0.5000 0.5000
```


Run ii
Density functional theory data (PBE) for a relaxed TaSe2BrF crystal.

Computed properties:
**Total magnetic moment**: 0.6 Bohr magnetons per cell
**D(E_F)**: 1.43 states/eV/atom

The structure in POSCAR format:
```
TaSe2BrF
1.0
4.9616 0.0000 0.0000
0.0000 4.9616 0.0000
0.0000 0.0000 5.1377
F Se Br Ta
1 2 1 1
direct
0.5000 0.5000 0.5000
0.0000 0.5000 0.0000
0.5000 0.0000 0.0000
0.0000 0.0000 0.5000
0.0000 0.0000 0.0000
```


Last place for stability: run i


Run i
Density functional theory data (PBE) for a relaxed TeSeBr2F crystal.

Computed properties:
**Total magnetic moment**: 1.1 Bohr magnetons per cell
**D(E_F)**: 0.97 states/eV/atom

The structure in POSCAR format:
```
TeSeBr2F
1.0
5.7417 0.0000 0.0000
0.0000 5.7417 0.0000
0.0000 0.0000 3.8768
Te Se Br F
1 1 2 1
direct
0.5000 0.5000 0.5000
0.0000 0.0000 0.5000
0.0000 0.5000 0.0000
0.5000 0.0000 0.0000
0.0000 0.0000 0.0000
```


Run ii
Density functional theory data (PBE) for a relaxed TeSeBr2F crystal.

Computed properties:
**Total magnetic moment**: 0.4 Bohr magnetons per cell
**D(E_F)**: 2.05 states/eV/atom

The structure in POSCAR format:
```
TeSeBr2F
1.0
-4.8797 0.7665 2.4217
-1.8523 -4.6626 -2.2567
1.7161 -2.7816 4.3385
Te Se Br F
1 1 2 1
direct
0.0000 0.0000 0.0000
0.0000 0.0000 0.5000
0.0000 0.5000 0.0000
0.5000 0.0000 0.0000
0.5000 0.5000 0.5000
```


Last place for stability: run i


Run i
Density functional theory data (PBE) for a relaxed TeSe2BrF crystal.

Computed properties:
**Total magnetic moment**: 0.0 Bohr magnetons per cell
**D(E_F)**: 0.88 states/eV/atom

The structure in POSCAR format:
```
TeSe2BrF
1.0
4.4310 0.0000 0.0000
0.0000 4.4310 0.0000
0.0000 0.0000 5.8997
Te Se Br F
1 2 1 1
direct
0.5000 0.5000 0.5000
0.0000 0.5000 0.0000
0.5000 0.0000 0.0000
0.0000 0.0000 0.5000
0.0000 0.0000 0.0000
```


Run ii
Density functional theory data (PBE) for a relaxed TeSe2BrF crystal.

Computed properties:
**Total magnetic moment**: 0.9 Bohr magnetons per cell
**D(E_F)**: 2.97 states/eV/atom

The structure in POSCAR format:
```
TeSe2BrF
1.0
5.4073 0.0000 0.0000
0.0000 5.4073 0.0000
0.0000 0.0000 5.5210
Te Se Br F
1 2 1 1
direct
0.0000 0.0000 0.0000
0.0000 0.5000 0.0000
0.5000 0.0000 0.0000
0.0000 0.0000 0.5000
0.5000 0.5000 0.5000
```


Last place for stability: run ii


Run i
Density functional theory data (PBE) for a relaxed TiSe2BrF crystal.

Computed properties:
**Total magnetic moment**: 0.0 Bohr magnetons per cell
**D(E_F)**: 1.82 states/eV/atom

The structure in POSCAR format:
```
TiSe2BrF
1.0
-3.9163 2.2127 -1.9118
-1.1313 -4.0931 -2.4198
-2.7590 -1.5311 3.8797
F Se Br Ti
1 2 1 1
direct
0.5000 0.5000 0.5000
0.0000 0.5000 0.0000
0.5000 0.0000 0.0000
0.0000 0.0000 0.5000
0.0000 0.0000 0.0000
```


Run ii
Density functional theory data (PBE) for a relaxed TiSe2BrF crystal.

Computed properties:
**Total magnetic moment**: 0.0 Bohr magnetons per cell
**D(E_F)**: 1.53 states/eV/atom

The structure in POSCAR format:
```
TiSe2BrF
1.0
4.3485 0.0000 0.0000
0.0000 4.3485 0.0000
0.0000 0.0000 5.5191
F Se Br Ti
1 2 1 1
direct
0.0000 0.0000 0.0000
0.0000 0.5000 0.0000
0.5000 0.0000 0.0000
0.0000 0.0000 0.5000
0.5000 0.5000 0.5000
```


Last place for stability: run ii


Run i
Density functional theory data (PBE) for a relaxed TlSe2BrF crystal.

Computed properties:
**Total magnetic moment**: 0.0 Bohr magnetons per cell
**D(E_F)**: 1.21 states/eV/atom

The structure in POSCAR format:
```
TlSe2BrF
1.0
-1.3834 -3.9501 -1.5338
1.7114 0.9552 -4.0036
6.1270 -2.8946 1.9284
Tl Se Br F
1 2 1 1
direct
0.5000 0.5000 0.5000
0.0000 0.5000 0.0000
0.5000 0.0000 0.0000
0.0000 0.0000 0.5000
0.0000 0.0000 0.0000
```


Run ii
Density functional theory data (PBE) for a relaxed TlSe2BrF crystal.

Computed properties:
**Total magnetic moment**: 3.3 Bohr magnetons per cell
**D(E_F)**: 0.95 states/eV/atom

The structure in POSCAR format:
```
TlSe2BrF
1.0
5.5882 0.0000 0.0000
0.0000 5.5882 0.0000
0.0000 0.0000 5.5240
Tl Se Br F
1 2 1 1
direct
0.0000 0.0000 0.0000
0.0000 0.5000 0.0000
0.5000 0.0000 0.0000
0.0000 0.0000 0.5000
0.5000 0.5000 0.5000
```


Last place for stability: run ii